Material: ScTlRh2
Method: DFT, PBE
State: relaxed

Cell lengths 3.089, 3.089, 7.686 Å; angles 90.00, 90.00, 90.00 degrees
Sites, in units of the cell vectors:
Sc 0.000 0.000 0.000
Tl 0.500 0.500 0.325
Rh 0.000 0.000 0.566
Rh 0.500 0.500 0.797

Summary:
* crystal system: tetragonal
* DOS(E_F): 0.90 states/eV per atom
* space-group type: P4mm (99)
* DFT formation energy: -0.18 eV per atom

=====

Material: TmCd11Ag
Method: DFT, PBE
State: relaxed

Cell lengths 7.621, 7.621, 7.595 Å; angles 98.55, 98.55, 134.61 degrees
Sites, in units of the cell vectors:
Tm 0.000 0.000 0.000
Cd 0.000 0.500 0.000
Cd 0.002 0.657 0.648
Cd 0.282 0.492 0.787
Cd 0.343 0.998 0.352
Cd 0.492 0.282 0.787
Cd 0.500 0.000 0.000
Cd 0.500 0.500 0.500
Cd 0.508 0.718 0.213
Cd 0.657 0.002 0.648
Cd 0.718 0.508 0.213
Cd 0.998 0.343 0.352
Ag 0.000 0.000 0.500

Summary:
* crystal system: monoclinic
* DOS(E_F): 0.39 states/eV per atom
* space-group type: C2/m (12)
* DFT formation energy: -0.06 eV per atom

=====

Material: LaV2Mo2
Method: DFT, PBE
State: relaxed

Cell lengths 7.847, 7.847, 3.019 Å; angles 90.00, 90.00, 90.00 degrees
Sites, in units of the cell vectors:
La 0.000 0.000 0.000
La 0.500 0.500 0.000
V 0.129 0.371 0.000
V 0.371 0.871 0.000
V 0.629 0.129 0.000
V 0.871 0.629 0.000
Mo 0.138 0.638 0.500
Mo 0.362 0.138 0.500
Mo 0.638 0.862 0.500
Mo 0.862 0.362 0.500

Summary:
* crystal system: tetragonal
* DOS(E_F): 1.51 states/eV per atom
* space-group type: P4/mbm (127)
* DFT formation energy: 0.42 eV per atom

=====

Material: PaS4Cl4
Method: DFT, PBE
State: relaxed

Cell lengths 4.062, 8.822, 9.459 Å; angles 91.82, 90.41, 103.06 degrees
Sites, in units of the cell vectors:
Pa 0.000 0.000 0.000
S 0.178 0.352 0.538
S 0.225 0.454 0.364
S 0.775 0.546 0.636
S 0.822 0.648 0.462
Cl 0.138 0.284 0.935
Cl 0.469 0.943 0.812
Cl 0.531 0.057 0.188
Cl 0.862 0.716 0.065

Summary:
* crystal system: triclinic
* DOS(E_F): 0.46 states/eV per atom
* ΔE_f (raw): -0.9864 eV/atom
* space-group type: P-1 (2)

=====

Material: NaAlTe2
Method: DFT, PBE
State: relaxed

Cell lengths 6.848, 6.848, 6.831 Å; angles 115.22, 115.22, 90.97 degrees
Sites, in units of the cell vectors:
Na 0.088 0.912 0.750
Na 0.912 0.088 0.250
Al 0.494 0.506 0.250
Al 0.506 0.494 0.750
Te 0.162 0.447 0.825
Te 0.447 0.162 0.325
Te 0.553 0.838 0.675
Te 0.838 0.553 0.175

Summary:
* crystal system: monoclinic
* DOS(E_F): 0.00 states/eV per atom
* ΔE_f (raw): -0.6794 eV/atom
* space-group type: C2/c (15)

=====

Material: VFe2Mo2
Method: DFT, PBE
State: relaxed

Cell lengths 6.911, 6.911, 2.833 Å; angles 90.00, 90.00, 90.00 degrees
Sites, in units of the cell vectors:
V 0.000 0.000 0.000
V 0.500 0.500 0.000
Fe 0.129 0.371 0.000
Fe 0.371 0.871 0.000
Fe 0.629 0.129 0.000
Fe 0.871 0.629 0.000
Mo 0.172 0.672 0.500
Mo 0.328 0.172 0.500
Mo 0.672 0.828 0.500
Mo 0.828 0.328 0.500

Summary:
* crystal system: tetragonal
* DOS(E_F): 1.00 states/eV per atom
* space-group type: P4/mbm (127)
* DFT formation energy: 0.20 eV per atom

=====

Material: Tl4Cu3AgBr12
Method: DFT, PBE
State: relaxed

Cell lengths 9.041, 9.041, 9.041 Å; angles 109.47, 109.47, 109.47 degrees
Sites, in units of the cell vectors:
Tl 0.000 0.000 0.500
Tl 0.000 0.500 0.000
Tl 0.500 0.000 0.000
Tl 0.500 0.500 0.500
Cu 0.000 0.500 0.500
Cu 0.500 0.000 0.500
Cu 0.500 0.500 0.000
Ag 0.000 0.000 0.000
Br 0.000 0.262 0.262
Br 0.000 0.738 0.738
Br 0.250 0.500 0.750
Br 0.250 0.750 0.500
Br 0.262 0.000 0.262
Br 0.262 0.262 0.000
Br 0.500 0.250 0.750
Br 0.500 0.750 0.250
Br 0.738 0.000 0.738
Br 0.738 0.738 0.000
Br 0.750 0.250 0.500
Br 0.750 0.500 0.250

Summary:
* crystal system: cubic
* DOS(E_F): 0.42 states/eV per atom
* ΔE_f (raw): -0.4787 eV/atom
* space-group type: Im-3m (229)

=====

Material: Pu2In8Bi
Method: DFT, PBE
State: relaxed

Cell lengths 4.725, 4.725, 13.622 Å; angles 90.00, 90.00, 90.00 degrees
Sites, in units of the cell vectors:
Pu 0.000 0.000 0.171
Pu 0.000 0.000 0.829
In 0.000 0.500 0.000
In 0.000 0.500 0.334
In 0.000 0.500 0.666
In 0.500 0.000 0.000
In 0.500 0.000 0.334
In 0.500 0.000 0.666
In 0.500 0.500 0.165
In 0.500 0.500 0.835
Bi 0.000 0.000 0.500

Summary:
* crystal system: tetragonal
* DOS(E_F): 2.10 states/eV per atom
* space-group type: P4/mmm (123)
* DFT formation energy: -0.11 eV per atom

=====

Material: Y2HgPdC
Method: DFT, PBE
State: relaxed

Cell lengths 4.988, 4.988, 4.097 Å; angles 90.00, 90.00, 90.00 degrees
Sites, in units of the cell vectors:
Y 0.000 0.500 0.000
Y 0.500 0.000 0.000
Hg 0.000 0.000 0.500
Pd 0.500 0.500 0.500
C 0.500 0.500 0.000

Summary:
* crystal system: tetragonal
* DOS(E_F): 0.74 states/eV per atom
* space-group type: P4/mmm (123)
* DFT formation energy: -0.41 eV per atom

=====

Material: ScFePd3
Method: DFT, PBE
State: relaxed

Cell lengths 4.707, 4.707, 4.707 Å; angles 90.00, 90.00, 90.00 degrees
Sites, in units of the cell vectors:
Sc 0.000 0.000 0.000
Fe 0.500 0.500 0.500
Pd 0.000 0.000 0.500
Pd 0.000 0.500 0.000
Pd 0.500 0.000 0.000

Summary:
* crystal system: cubic
* DOS(E_F): 2.11 states/eV per atom
* space-group type: Pm-3m (221)
* DFT formation energy: 0.71 eV per atom

=====

Material: Na2CeCdF8
Method: DFT, PBE
State: relaxed

Cell lengths 3.871, 5.575, 7.884 Å; angles 90.00, 90.00, 90.00 degrees
Sites, in units of the cell vectors:
Na 0.000 0.000 0.227
Na 0.000 0.000 0.773
Ce 0.500 0.500 0.500
Cd 0.500 0.500 0.000
F 0.000 0.264 0.000
F 0.000 0.269 0.500
F 0.000 0.731 0.500
F 0.000 0.736 0.000
F 0.500 0.265 0.271
F 0.500 0.265 0.729
F 0.500 0.735 0.271
F 0.500 0.735 0.729

Summary:
* crystal system: orthorhombic
* ΔE_f (raw): -3.0408 eV/atom
* space-group type: Pmmm (47)

=====

Material: K2LaDyTe4
Method: DFT, PBE
State: relaxed

Cell lengths 7.982, 4.606, 8.653 Å; angles 90.00, 107.87, 90.00 degrees
Sites, in units of the cell vectors:
K 0.000 0.000 0.000
K 0.500 0.500 0.000
La 0.000 0.500 0.500
Dy 0.500 0.000 0.500
Te 0.248 0.000 0.714
Te 0.273 0.500 0.290
Te 0.727 0.500 0.710
Te 0.752 0.000 0.286

Summary:
* crystal system: monoclinic
* DOS(E_F): 0.00 states/eV per atom
* ΔE_f (raw): -1.4424 eV/atom
* space-group type: P2/m (10)

=====

Material: LaBeIr2Pd
Method: DFT, PBE
State: relaxed

Cell lengths 4.369, 4.369, 4.409 Å; angles 90.00, 90.00, 90.00 degrees
Sites, in units of the cell vectors:
La 0.000 0.000 0.000
Be 0.500 0.500 0.500
Ir 0.000 0.500 0.500
Ir 0.500 0.000 0.500
Pd 0.500 0.500 0.000

Summary:
* crystal system: tetragonal
* DOS(E_F): 0.90 states/eV per atom
* space-group type: P4/mmm (123)
* DFT formation energy: -0.47 eV per atom

=====

Material: Ca2OsPt
Method: DFT, PBE
State: relaxed

Cell lengths 4.826, 4.826, 4.826 Å; angles 60.00, 60.00, 60.00 degrees
Sites, in units of the cell vectors:
Ca 0.000 0.000 0.000
Ca 0.250 0.250 0.250
Os 0.750 0.750 0.750
Pt 0.500 0.500 0.500

Summary:
* crystal system: cubic
* DOS(E_F): 0.92 states/eV per atom
* space-group type: F-43m (216)
* DFT formation energy: 0.22 eV per atom

=====

Material: LaDyHoAl
Method: DFT, PBE
State: relaxed

Cell lengths 3.545, 3.545, 9.178 Å; angles 90.00, 90.00, 90.00 degrees
Sites, in units of the cell vectors:
La 0.000 0.000 0.000
Dy 0.500 0.500 0.704
Ho 0.500 0.500 0.293
Al 0.000 0.000 0.498

Summary:
* crystal system: tetragonal
* DOS(E_F): 1.01 states/eV per atom
* space-group type: P4mm (99)
* DFT formation energy: -0.19 eV per atom

=====

Material: RbTm3Se4O12
Method: DFT, PBE
State: relaxed

Cell lengths 7.560, 7.560, 7.560 Å; angles 107.48, 107.48, 107.48 degrees
Sites, in units of the cell vectors:
Rb 0.000 0.000 0.000
Tm 0.000 0.568 0.432
Tm 0.432 0.000 0.568
Tm 0.568 0.432 0.000
Se 0.067 0.500 0.933
Se 0.500 0.500 0.500
Se 0.500 0.933 0.067
Se 0.933 0.067 0.500
O 0.080 0.625 0.775
O 0.116 0.884 0.500
O 0.225 0.375 0.920
O 0.343 0.657 0.500
O 0.375 0.920 0.225
O 0.500 0.116 0.884
O 0.500 0.343 0.657
O 0.625 0.775 0.080
O 0.657 0.500 0.343
O 0.775 0.080 0.625
O 0.884 0.500 0.116
O 0.920 0.225 0.375

Summary:
* crystal system: trigonal
* DOS(E_F): 0.41 states/eV per atom
* ΔE_f (raw): -1.6414 eV/atom
* space-group type: R32 (155)

=====

Material: Li2Nd3Ag5
Method: DFT, PBE
State: relaxed

Cell lengths 10.585, 10.585, 3.967 Å; angles 90.00, 90.00, 90.00 degrees
Sites, in units of the cell vectors:
Li 0.114 0.386 0.000
Li 0.386 0.886 0.000
Li 0.614 0.114 0.000
Li 0.886 0.614 0.000
Nd 0.000 0.000 0.000
Nd 0.181 0.681 0.000
Nd 0.319 0.181 0.000
Nd 0.500 0.500 0.000
Nd 0.681 0.819 0.000
Nd 0.819 0.319 0.000
Ag 0.000 0.500 0.500
Ag 0.061 0.222 0.500
Ag 0.222 0.939 0.500
Ag 0.278 0.439 0.500
Ag 0.439 0.722 0.500
Ag 0.500 0.000 0.500
Ag 0.561 0.278 0.500
Ag 0.722 0.561 0.500
Ag 0.778 0.061 0.500
Ag 0.939 0.778 0.500

Summary:
* crystal system: tetragonal
* DOS(E_F): 0.79 states/eV per atom
* space-group type: P4/mbm (127)
* DFT formation energy: -0.21 eV per atom

=====

Material: TbPrNd2
Method: DFT, PBE
State: relaxed

Cell lengths 5.169, 5.169, 5.182 Å; angles 90.00, 90.00, 90.00 degrees
Sites, in units of the cell vectors:
Tb 0.000 0.000 0.000
Pr 0.500 0.500 0.000
Nd 0.000 0.500 0.500
Nd 0.500 0.000 0.500

Summary:
* crystal system: tetragonal
* DOS(E_F): 1.72 states/eV per atom
* space-group type: P4/mmm (123)
* DFT formation energy: 0.02 eV per atom

=====

Material: Pm5SmHg2
Method: DFT, PBE
State: relaxed

Cell lengths 8.403, 8.403, 8.403 Å; angles 154.12, 101.22, 84.59 degrees
Sites, in units of the cell vectors:
Pm 0.000 0.000 0.000
Pm 0.081 0.361 0.719
Pm 0.358 0.639 0.719
Pm 0.642 0.361 0.281
Pm 0.919 0.639 0.281
Sm 0.500 0.000 0.500
Hg 0.271 0.271 0.000
Hg 0.729 0.729 0.000

Summary:
* crystal system: orthorhombic
* DOS(E_F): 0.99 states/eV per atom
* space-group type: Immm (71)
* DFT formation energy: -0.16 eV per atom

=====

Material: GaAsCl2
Method: DFT, PBE
State: relaxed

Cell lengths 9.525, 9.525, 9.525 Å; angles 152.27, 152.27, 39.61 degrees
Sites, in units of the cell vectors:
Ga 0.000 0.000 0.000
Ga 0.750 0.250 0.500
As 0.250 0.750 0.500
As 0.500 0.500 0.000
Cl 0.144 0.625 0.019
Cl 0.375 0.394 0.519
Cl 0.606 0.125 0.981
Cl 0.875 0.856 0.481

Summary:
* crystal system: tetragonal
* DOS(E_F): 0.59 states/eV per atom
* ΔE_f (raw): -0.0214 eV/atom
* space-group type: I-42d (122)